Compound: LaAlMo2
Source: the Alexandria database
Functional: PBE-GGA
Structure: relaxed

Unit cell a=9.3190 b=3.4268 c=5.6458 alpha=90.00 beta=108.33 gamma=90.00
Closest atoms and distances in Å follow each position.
Space group Cm (No. 8)
Unique sites:
La (0.0000, 0.0000, 0.0000) [2 per cell]  7 Mo 3.09-3.41, 3 Al 3.27-3.29, 2 La 3.43
Al (0.2830, 0.5000, 0.3609) [2 per cell]  5 Mo 2.72-2.74
Mo (0.0250, 0.5000, 0.4918) [2 per cell]  2 Mo 2.50, 3 Al 2.73-2.74
Mo (0.2213, 0.0000, 0.6910) [2 per cell]  2 Mo 2.50, 2 Al 2.72

crystal system = monoclinic
total DFT energy (no corrections) = -7.330 eV/atom



Compound: RbNd2I7
Source: the Alexandria database
Functional: PBE-GGA
Structure: relaxed

Unit cell a=9.9973 b=16.0372 c=6.2197 alpha=90.00 beta=90.00 gamma=90.00
Closest atoms and distances in Å follow each position.
Space group Cmmm (No. 65)
Unique sites:
Rb (0.0000, 0.0000, 0.0000) [2 per cell]  10 I 4.25-4.71
Nd (0.0000, 0.3018, 0.5000) [4 per cell]  7 I 3.11-3.27
I (0.0000, 0.2939, 0.0000) [4 per cell]  2 Nd 3.11
I (0.0000, 0.5000, 0.5000) [2 per cell]  2 Nd 3.18
I (0.1876, 0.1380, 0.5000) [8 per cell]  2 Nd 3.23-3.27

formation energy (no corrections) = -1.384 eV/atom
crystal system = orthorhombic



Compound: ZrHgPO6
Source: the Alexandria database
Functional: PBE-GGA
Structure: relaxed

Unit cell a=5.0847 b=9.4704 c=5.1286 alpha=90.00 beta=101.87 gamma=90.00
Closest atoms and distances in Å follow each position.
Space group C2 (No. 5)
Unique sites:
Zr (0.0000, 0.0000, 0.0000) [2 per cell]  6 O 2.09-2.14
Hg (0.0000, 0.2934, 0.5000) [2 per cell]  2 O 2.09
P (0.0000, 0.6641, 0.0000) [2 per cell]  6 O 1.69-1.79
O (0.1604, 0.8095, 0.1924) [4 per cell]  1 P 1.79
O (0.1928, 0.5465, 0.2020) [4 per cell]  1 P 1.69
O (0.2342, 0.6573, 0.8086) [4 per cell]  1 P 1.69

formation energy (no corrections) = -1.710 eV/atom
crystal system = monoclinic



Compound: CdSbAs2
Source: the Alexandria database
Functional: PBE-GGA
Structure: relaxed

Unit cell a=3.6504 b=4.8428 c=5.0659 alpha=90.00 beta=90.00 gamma=90.00
Closest atoms and distances in Å follow each position.
Space group Pmmm (No. 47)
Unique sites:
Cd (0.0000, 0.0000, 0.0000) [1 per cell]  4 As 3.03, 4 Sb 3.12
Sb (0.5000, 0.0000, 0.5000) [1 per cell]  4 As 3.03, 4 Cd 3.12
As (0.0000, 0.5000, 0.5000) [1 per cell]  4 Sb 3.03, 4 As 3.12
As (0.5000, 0.5000, 0.0000) [1 per cell]  4 Cd 3.03, 4 As 3.12

formation energy (no corrections) = 0.324 eV/atom
crystal system = orthorhombic



Compound: Hf2TaNi2
Source: the Alexandria database
Functional: PBE-GGA
Structure: relaxed

Unit cell a=7.4731 b=7.4731 c=3.0144 alpha=90.00 beta=90.00 gamma=90.00
Closest atoms and distances in Å follow each position.
Space group P4/mbm (No. 127)
Unique sites:
Hf (0.1588, 0.3412, 0.0000) [4 per cell]  6 Ni 2.65-2.67, 2 Ta 2.81
Ta (0.0000, 0.0000, 0.0000) [2 per cell]  4 Hf 2.81, 2 Ta 3.01
Ni (0.1355, 0.6355, 0.5000) [4 per cell]  6 Hf 2.65-2.67, 1 Ni 2.86

crystal system = tetragonal
total DFT energy (no corrections) = -8.707 eV/atom



Compound: CeHoLuZn
Source: the Alexandria database
Functional: PBE-GGA
Structure: relaxed

Unit cell a=7.4761 b=7.4761 c=7.4761 alpha=90.00 beta=90.00 gamma=90.00
Closest atoms and distances in Å follow each position.
Space group F-43m (No. 216)
Unique sites:
Ce (0.0000, 0.0000, 0.0000) [4 per cell]  4 Lu 3.24, 4 Zn 3.24
Ho (0.0000, 0.0000, 0.5000) [4 per cell]  4 Zn 3.24, 4 Lu 3.24
Lu (0.2500, 0.2500, 0.2500) [4 per cell]  4 Ce 3.24, 4 Ho 3.24
Zn (0.2500, 0.2500, 0.7500) [4 per cell]  4 Ce 3.24, 4 Ho 3.24

crystal system = cubic
total DFT energy (no corrections) = -4.034 eV/atom



Compound: HoMg3Tl
Source: the Alexandria database
Functional: PBE-GGA
Structure: relaxed

Unit cell a=5.0196 b=28.4956 c=3.6195 alpha=90.00 beta=90.00 gamma=90.00
Closest atoms and distances in Å follow each position.
Space group Cmmm (No. 65)
Unique sites:
Ho (0.0000, 0.1657, 0.0000) [4 per cell]  4 Tl 3.26, 8 Mg 3.51-3.58, 2 Ho 3.62
Mg (0.0000, 0.0585, 0.5000) [4 per cell]  5 Mg 3.10-3.34, 2 Tl 3.23
Mg (0.0000, 0.2711, 0.5000) [4 per cell]  2 Mg 2.78, 1 Tl 2.81
Mg (0.0000, 0.4502, 0.0000) [4 per cell]  5 Mg 2.84-3.10, 2 Tl 2.92
Tl (0.0000, 0.3699, 0.5000) [4 per cell]  3 Mg 2.81-2.92

crystal system = orthorhombic
total DFT energy (no corrections) = -2.369 eV/atom



no.,calculated density (g/cm³),density of states at the Fermi level (states/eV per atom)
1,6.942,0.5544
2,4.204,0.0000
3,5.755,0.4180
4,7.120,0.5295
5,12.928,0.6744
6,8.670,1.6198
7,5.674,0.7143